Entry 1:
This record from the Alexandria database describes an optimized crystal structure of LiGdAlNi. The functional is PBE.

Properties
* raw total energy: -26.86 eV for the cell shown

a = 4.5835 Å, b = 4.5835 Å, c = 4.5835 Å
α = 60.00°, β = 60.00°, γ = 60.00°
With the nearest neighbours (Å) after each atom.
Positions (direct):
Ni (0.7500, 0.7500, 0.7500)  4 Gd 2.81, 4 Al 2.81
Gd (0.5000, 0.5000, 0.5000)  4 Ni 2.81, 4 Li 2.81
Al (0.0000, 0.0000, 0.0000)  4 Li 2.81, 4 Ni 2.81
Li (0.2500, 0.2500, 0.2500)  4 Gd 2.81, 4 Al 2.81


Entry 2:
This record from the Alexandria database describes an optimized crystal structure of LiGdAlPb. The functional is PBE.

Properties
* raw total energy: -24.40 eV for the cell shown

a = 5.1336 Å, b = 5.1336 Å, c = 5.1336 Å
α = 60.00°, β = 60.00°, γ = 60.00°
With the nearest neighbours (Å) after each atom.
Positions (direct):
Pb (0.2500, 0.2500, 0.2500)  4 Li 3.14, 4 Gd 3.14
Gd (0.5000, 0.5000, 0.5000)  4 Pb 3.14, 4 Al 3.14
Al (0.7500, 0.7500, 0.7500)  4 Gd 3.14, 4 Li 3.14
Li (0.0000, 0.0000, 0.0000)  4 Al 3.14, 4 Pb 3.14


Asked for energy of formation from the pure elements across the records above, the calculation gives -0.3341; -0.2378 eV/atom in order.
Asked for density of states at the Fermi level across the records above, the calculation gives 3.5; 2.6 states/eV per cell in order.